No. 1
## Ca2Zn2Sb (PBE)

Data for an optimized crystal structure of Ca2Zn2Sb.

Structure (extended XYZ):
```
5
Lattice="-1.886 1.886 9.236 1.886 -1.886 9.236 1.886 1.886 -9.236" Properties=species:S:1:pos:R:3 pbc="T T T"
Ca 0.000 0.000 1.893
Ca 0.000 0.000 16.578
Zn 1.886 0.000 4.618
Zn 0.000 1.886 4.618
Sb 0.000 0.000 9.236
```

Summary:
- total DFT energy (no corrections) (eV/atom) = -2.516
- ρ (g/cm3) = 4.204
- relative energy among the computed polymorphs (meV per atom) = 57.4

No. 2
## CaZnSb2 (PBE)

Data for an optimized crystal structure of CaZnSb2.

Structure (extended XYZ):
```
4
Lattice="3.383 0.000 0.000 0.000 5.547 0.000 -0.002 0.000 5.711" Properties=species:S:1:pos:R:3 pbc="T T T"
Ca 0.000 0.000 0.000
Zn 1.701 2.774 3.560
Sb 1.693 0.000 2.886
Sb 1.693 2.774 0.636
```

Summary:
- total DFT energy (no corrections) (eV/atom) = -3.176
- ρ (g/cm3) = 5.408

Calculated magnetization, 0.00 0.00 μB per cell (same order as the records).